# Mn3PtBr

Crystalline Mn3PtBr at its relaxed geometry (PBE, Alexandria).

Output
DOS at the Fermi energy, states/eV per atom: 1.1792
Formation energy without anion corrections, kJ per mole of atoms: 134.85
Offset from the most stable computed form, eV/atom: 0.874
Crystal system: cubic
Volume, Å³/atom: 15.376

Cell: 4.252 4.252 4.252 Å, 90.00 90.00 90.00°
Fractional coordinates of all 5 atoms:
1 Mn 0.000 0.000 0.500
2 Mn 0.000 0.500 0.000
3 Mn 0.500 0.000 0.000
4 Pt 0.500 0.500 0.500
5 Br 0.000 0.000 0.000

---

# SrBeCu2

Crystalline SrBeCu2 at its relaxed geometry (PBE, Alexandria).

Output
DOS at the Fermi energy, states/eV per atom: 0.3627
Uncorrected energy, eV per atom: -3.14
Crystal system: tetragonal
Volume, Å³/atom: 17.394

Cell: 3.231 3.231 6.667 Å, 90.00 90.00 90.00°
Fractional coordinates of all 4 atoms:
1 Sr 0.000 0.000 0.000
2 Be 0.500 0.500 0.345
3 Cu 0.000 0.000 0.478
4 Cu 0.500 0.500 0.672

---

# TeIr2Ru

Crystalline TeIr2Ru at its relaxed geometry (PBE, Alexandria).

Output
DOS at the Fermi energy, states/eV per atom: 0.4446
Formation energy without anion corrections, kJ per mole of atoms: 31.02
Crystal system: tetragonal
Volume, Å³/atom: 15.844

Cell: 3.944 3.944 4.074 Å, 90.00 90.00 90.00°
Fractional coordinates of all 4 atoms:
1 Te 0.000 0.000 0.000
2 Ir 0.000 0.500 0.500
3 Ir 0.500 0.000 0.500
4 Ru 0.500 0.500 0.000

---

Number 3 is which compound?
TeIr2Ru